## SrTa2W (GGA-PBE)

Data for an optimized crystal structure of SrTa2W.

The calculation puts the size of the total moment at 0.00 Bohr magnetons per cell. The value obtained for the total energy is -8.757 eV/atom. Its energy above the lowest structure with this stoichiometry is 257 meV/atom. The formation enthalpy at 0 K comes out at 0.83 eV per atom.

The space group is C2/m (No. 12) and the conventional cell measures 9.372, 2.811 and 6.669 Å, with angles of 90.00, 91.02 and 90.00 degrees. The inequivalent atoms are Sr at (0.000, 0.000, 0.000), Ta at (0.245, 0.000, 0.690) and W at (0.000, 0.500, 0.500).